VASP calculation (PBE) on a relaxed structure of Li6Al2Cd.

a b c (Å): 7.9165 7.9165 8.2653
angles (deg): 90.00 90.00 120.00
Closest atoms and distances in Å follow each position.
Space group R-3m (No. 166, hexagonal axes)
Inequivalent atoms, fractional coordinates:
1 Li 0.0000 0.3313 0.0000  5 Li 2.62-2.76
2 Al 0.0000 0.0000 0.1632  1 Al 2.70, 1 Cd 2.78, 12 Li 2.95-3.00
3 Cd 0.0000 0.0000 0.5000  2 Al 2.78, 12 Li 2.98

V	16.61	Å³/atom
energy above the lowest structure with this stoichiometry	4.1	meV per atom
DFT formation energy	-0.166	eV/atom